The following is a PBE calculation of a relaxed structure of Tb8CdIn2, from Alexandria.

abc: 9.311 9.311 7.138
angles: 100.06 100.06 32.48
Atoms (fractional coordinates):
Tb 0.030 0.030 0.248
Tb 0.181 0.181 0.765
Tb 0.336 0.336 0.564
Tb 0.407 0.407 0.051
Tb 0.593 0.593 0.949
Tb 0.664 0.664 0.436
Tb 0.819 0.819 0.235
Tb 0.970 0.970 0.752
Cd 0.500 0.500 0.500
In 0.207 0.207 0.211
In 0.793 0.793 0.789

Summary:
Excess energy over the best structure of this formula in the dataset ... 0.000 eV per atom
Symmetry ... C2/m (12)
Theoretical density ... 8.2 Mg/m³
VASP energy ... -45.50 eV for the cell shown
Calculated formation energy ... -0.1879 eV/atom